Entry 1:
DFT (GGA-PBE) results for crystalline Pm2SiHPt6 at its relaxed geometry.

Cell: 9.915 5.727 6.838 Å, 90.00 119.00 90.00°
Space group C2/m (No. 12)
Inequivalent atoms, fractional coordinates:
Pm 0.218 0.000 0.155 [4 per cell]
Si 0.000 0.500 0.000 [2 per cell]
H 0.000 0.000 0.500 [2 per cell]
Pt 0.019 0.253 0.304 [8 per cell]
Pt 0.234 0.000 0.696 [4 per cell]

Results
DFT total energy in eV per atom: -6.34
Fermi-level density of states in states/eV/f.u.: 2.57

***

Entry 2:
DFT (GGA-PBE) results for crystalline PmSnHPt at its relaxed geometry.

Cell: 6.735 6.735 6.735 Å, 90.00 90.00 90.00°
Space group F-43m (No. 216)
Inequivalent atoms, fractional coordinates:
Pm 0.000 0.000 0.000 [4 per cell]
Sn 0.000 0.000 0.500 [4 per cell]
H 0.250 0.250 0.250 [4 per cell]
Pt 0.250 0.250 0.750 [4 per cell]

Results
DFT total energy in eV per atom: -5.02
Fermi-level density of states in states/eV/f.u.: 4.38

***

Entry 3:
DFT (GGA-PBE) results for crystalline Pm2SnHPt6 at its relaxed geometry.

Cell: 9.945 5.741 7.221 Å, 90.00 117.50 90.00°
Space group C2/m (No. 12)
Inequivalent atoms, fractional coordinates:
Pm 0.221 0.000 0.166 [4 per cell]
Sn 0.000 0.500 0.000 [2 per cell]
H 0.000 0.000 0.500 [2 per cell]
Pt 0.021 0.249 0.318 [8 per cell]
Pt 0.227 0.000 0.679 [4 per cell]

Results
DFT total energy in eV per atom: -6.05
Fermi-level density of states in states/eV/f.u.: 3.71

***

Entry 4:
DFT (GGA-PBE) results for crystalline PmTlH6Pt2 at its relaxed geometry.

Cell: 8.889 8.626 7.738 Å, 90.00 111.86 90.00°
Space group C2/c (No. 15)
Inequivalent atoms, fractional coordinates:
Pm 0.000 0.053 0.250 [4 per cell]
Tl 0.000 0.409 0.750 [4 per cell]
H 0.015 0.153 0.536 [8 per cell]
H 0.092 0.299 0.236 [8 per cell]
H 0.226 0.118 0.852 [8 per cell]
Pt 0.217 0.183 0.646 [8 per cell]

Results
DFT total energy in eV per atom: -4.22
Fermi-level density of states in states/eV/f.u.: 0.04

***

Entry 5:
DFT (GGA-PBE) results for crystalline Pm2ZnHPt6 at its relaxed geometry.

Cell: 9.808 5.668 7.061 Å, 90.00 117.45 90.00°
Space group C2/m (No. 12)
Inequivalent atoms, fractional coordinates:
Pm 0.216 0.000 0.148 [4 per cell]
Zn 0.000 0.500 0.000 [2 per cell]
H 0.000 0.000 0.500 [2 per cell]
Pt 0.022 0.252 0.312 [8 per cell]
Pt 0.231 0.000 0.689 [4 per cell]

Results
DFT total energy in eV per atom: -5.78
Fermi-level density of states in states/eV/f.u.: 4.29

***

Entry 6:
DFT (GGA-PBE) results for crystalline Pm2PuH at its relaxed geometry.

Cell: 3.5049 3.5049 28.2373 Å, 90.00 90.00 120.00°
Space group R-3m (No. 166, hexagonal axes)
Inequivalent atoms, fractional coordinates:
Pm 0.0000 0.0000 0.1160 [6 per cell]
Pu 0.0000 0.0000 0.0000 [3 per cell]
H 0.0000 0.0000 0.5000 [3 per cell]

Results
Energy above the lowest structure with this stoichiometry in eV/f.u.: 0.000
DFT total energy in eV per atom: -6.70
Fermi-level density of states in states/eV/f.u.: 10.74

***

Entry 7:
DFT (GGA-PBE) results for crystalline Pm2PuH8 at its relaxed geometry.

Cell: 3.742 5.420 11.181 Å, 90.00 90.00 90.00°
Space group Immm (No. 71)
Inequivalent atoms, fractional coordinates:
Pm 0.000 0.000 0.170 [4 per cell]
Pu 0.000 0.000 0.500 [2 per cell]
H 0.000 0.235 0.000 [4 per cell]
H 0.000 0.261 0.342 [8 per cell]
H 0.000 0.500 0.157 [4 per cell]

Results
DFT total energy in eV per atom: -5.13
Fermi-level density of states in states/eV/f.u.: 8.86

***

Entry 8:
DFT (GGA-PBE) results for crystalline PmPuH at its relaxed geometry.

Cell: 7.295 5.872 7.303 Å, 90.00 119.69 90.00°
Space group P2_1/c (No. 14)
Inequivalent atoms, fractional coordinates:
Pm 0.082 0.242 0.414 [4 per cell]
Pu 0.422 0.742 0.589 [4 per cell]
H 0.416 0.124 0.578 [4 per cell]

Results
Energy above the lowest structure with this stoichiometry in eV/f.u.: 0.013
DFT total energy in eV per atom: -7.54
Fermi-level density of states in states/eV/f.u.: 8.20

***

- The highest Fermi-level density of states belongs to which entry?
  Pm2PuH